Compound: RbInCuSe3
Source: the Open Quantum Materials Database
Functional: PBE
Structure: relaxed

Calculated volume, Å³/cell: 346.8
Calculated total energy, eV per formula unit: -21.38

Structure (CIF):
```
data_RbInCuSe3
_symmetry_space_group_name_H-M 'P 1 21/m 1'
_symmetry_Int_Tables_number 11
_symmetry_space_group_name_Hall '-P 2yb'
_cell_length_a 9.370
_cell_length_b 3.981
_cell_length_c 9.937
_cell_angle_alpha 90.00
_cell_angle_beta 110.67
_cell_angle_gamma 90.00
loop_
_atom_site_label
_atom_site_type_symbol
_atom_site_fract_x
_atom_site_fract_y
_atom_site_fract_z
Rb1 Rb 0.209 0.250 0.242
In1 In 0.334 0.750 0.871
Cu1 Cu 0.077 0.250 0.589
Se1 Se 0.124 0.250 0.850
Se2 Se 0.197 0.750 0.535
Se3 Se 0.475 0.750 0.164
```

Compound: PrTlCd
Source: the Open Quantum Materials Database
Functional: PBE
Structure: relaxed

Calculated volume, Å³/cell: 165.8
Calculated total energy, eV per formula unit: -9.06

Structure (CIF):
```
data_PrTlCd
_symmetry_space_group_name_H-M 'P 63/m m c'
_symmetry_Int_Tables_number 194
_symmetry_space_group_name_Hall '-P 6c 2c'
_cell_length_a 5.0418
_cell_length_b 5.0418
_cell_length_c 7.5332
_cell_angle_alpha 90.00
_cell_angle_beta 90.00
_cell_angle_gamma 120.00
loop_
_atom_site_label
_atom_site_type_symbol
_atom_site_fract_x
_atom_site_fract_y
_atom_site_fract_z
Pr1 Pr 0.0000 0.0000 0.0000
Tl1 Tl 0.3333 0.6667 0.2500
Cd1 Cd 0.3333 0.6667 0.7500
```